[1]
# Cs2TlAgHg

Crystalline Cs2TlAgHg at its relaxed geometry (GGA-PBE, the Alexandria database).

```
Cs2TlAgHg
1.0
7.210 0.000 0.000
0.000 7.210 0.000
0.000 0.000 5.692
Cs Tl Ag Hg
2 1 1 1
Cartesian
0.000 3.605 0.000
3.605 0.000 0.000
0.000 0.000 2.846
3.605 3.605 2.846
0.000 0.000 0.000
```

Values from the calculation:
- Formation energy from the elements: 0.14 eV per atom
- Total energy: -6.508 eV/cell
- N(E_F): 4.12 states/eV per cell


[2]
# CsTlAgHg2

Crystalline CsTlAgHg2 at its relaxed geometry (GGA-PBE, the Alexandria database).

```
CsTlAgHg2
1.0
5.918 0.000 0.000
0.000 5.918 0.000
0.000 0.000 5.581
Cs Tl Ag Hg
1 1 1 2
Cartesian
0.000 0.000 0.000
2.959 2.959 2.790
2.959 2.959 0.000
0.000 2.959 2.790
2.959 0.000 2.790
```

Values from the calculation:
- Formation energy from the elements: 0.00 eV per atom
- Total energy: -6.654 eV/cell
- N(E_F): 1.69 states/eV per cell


[3]
# CsTlAgHg2

Crystalline CsTlAgHg2 at its relaxed geometry (GGA-PBE, the Alexandria database).

```
CsTlAgHg2
1.0
5.641 0.000 0.000
0.000 5.641 0.000
0.000 0.000 5.661
Cs Tl Ag Hg
1 1 1 2
Cartesian
0.000 0.000 0.000
2.821 2.821 0.000
2.821 2.821 2.830
0.000 2.821 2.830
2.821 0.000 2.830
```

Values from the calculation:
- Formation energy from the elements: -0.03 eV per atom
- Total energy: -6.834 eV/cell
- N(E_F): 2.71 states/eV per cell


[4]
# Cs2TlAgHg

Crystalline Cs2TlAgHg at its relaxed geometry (GGA-PBE, the Alexandria database).

```
Cs2TlAgHg
1.0
7.089 0.000 0.000
0.000 7.089 0.000
0.000 0.000 5.414
Cs Tl Ag Hg
2 1 1 1
Cartesian
0.000 3.545 0.000
3.545 0.000 0.000
0.000 0.000 2.707
0.000 0.000 0.000
3.545 3.545 2.707
```

Values from the calculation:
- Formation energy from the elements: 0.03 eV per atom
- Total energy: -7.066 eV/cell
- N(E_F): 5.25 states/eV per cell


> What is the formula in the second record?

CsTlAgHg2